[1]
TlOsSe2N | PBE-GGA | relaxed

Results
Energy above the lowest structure with this stoichiometry, meV per atom: 1972.0
SG: P4/mmm, No. 123
DFT total energy, eV/atom: -3.561
Total magnetization, μB per formula unit: 5.08

Cell: 5.418 5.418 4.094 Å, 90.00 90.00 90.00°
Site moments in Bohr magnetons follow the coordinates.
Fractional positions:
1 Tl 0.000 0.000 0.000  0.02
2 Se 0.000 0.500 0.000  0.16
3 Se 0.500 0.000 0.000  0.16
4 N 0.000 0.000 0.500  0.94
5 Os 0.500 0.500 0.500  2.88

[2]
VOsSe2N | PBE-GGA | relaxed

Results
Energy above the lowest structure with this stoichiometry, meV per atom: 126.2
SG: P4/mmm, No. 123
DFT total energy, eV/atom: -6.310
Total magnetization, μB per formula unit: 0.80

Cell: 4.898 4.898 3.500 Å, 90.00 90.00 90.00°
Site moments in Bohr magnetons follow the coordinates.
Fractional positions:
1 Se 0.000 0.500 0.000  -0.03
2 Se 0.500 0.000 0.000  -0.03
3 N 0.000 0.000 0.500  -0.03
4 Os 0.500 0.500 0.500  0.56
5 V 0.000 0.000 0.000  0.29

[3]
VOsSe2N | PBE-GGA | relaxed

Results
Energy above the lowest structure with this stoichiometry, meV per atom: 318.8
SG: P4/mmm, No. 123
DFT total energy, eV/atom: -6.117
Total magnetization, μB per formula unit: 0.05

Cell: 4.664 3.712 4.664 Å, 90.00 90.00 90.00°
Site moments in Bohr magnetons follow the coordinates.
Fractional positions:
1 N 0.000 0.000 0.000  0.00
2 Se 0.000 0.000 0.500  0.01
3 Se 0.500 0.000 0.000  0.02
4 V 0.500 0.500 0.500  -0.20
5 Os 0.000 0.500 0.000  0.12

[4]
VOsSe2N | PBE-GGA | relaxed

Results
Energy above the lowest structure with this stoichiometry, meV per atom: 0.0
SG: P4/mmm, No. 123
DFT total energy, eV/atom: -6.436
Total magnetization, μB per formula unit: 0.08

Cell: 5.049 5.049 3.653 Å, 90.00 90.00 90.00°
Site moments in Bohr magnetons follow the coordinates.
Fractional positions:
1 V 0.500 0.500 0.500  -0.04
2 N 0.000 0.000 0.500  0.01
3 Se 0.000 0.500 0.000  0.02
4 Se 0.500 0.000 0.000  0.02
5 Os 0.000 0.000 0.000  0.08

[5]
YOsSeN2 | PBE-GGA | relaxed

Results
Energy above the lowest structure with this stoichiometry, meV per atom: 0.0
SG: P4/mmm, No. 123
DFT total energy, eV/atom: -7.659
Total magnetization, μB per formula unit: 0.00

Cell: 3.922 3.922 5.183 Å, 90.00 90.00 90.00°
Fractional positions:
1 Os 0.000 0.000 0.000
2 Se 0.000 0.000 0.500
3 Y 0.500 0.500 0.500
4 N 0.000 0.500 0.000
5 N 0.500 0.000 0.000

[6]
YOsSeN2 | PBE-GGA | relaxed

Results
Energy above the lowest structure with this stoichiometry, meV per atom: 1774.7
SG: P4/mmm, No. 123
DFT total energy, eV/atom: -5.885
Total magnetization, μB per formula unit: 5.78

Cell: 4.227 4.227 5.814 Å, 90.00 90.00 90.00°
Site moments in Bohr magnetons follow the coordinates.
Fractional positions:
1 N 0.000 0.500 0.000  0.82
2 N 0.500 0.000 0.000  0.82
3 Y 0.000 0.000 0.000  0.08
4 Se 0.000 0.000 0.500  0.08
5 Os 0.500 0.500 0.500  2.94